# KGeCl2 PBE-GGA relaxed
# VASP energy   -3.035 eV/atom
# Mass density   3.00 g/cm³
# Crystal system   cubic
data_KGeCl2
_cell_length_a 5.229
_cell_length_b 5.229
_cell_length_c 5.229
_cell_angle_alpha 60.00
_cell_angle_beta 60.00
_cell_angle_gamma 60.00
_symmetry_space_group_name_H-M 'P 1'
_symmetry_Int_Tables_number 1
loop_
_symmetry_equiv_pos_as_xyz
'x,y,z'
loop_
_atom_site_label
_atom_site_fract_x
_atom_site_fract_y
_atom_site_fract_z
Ge1 0.500 0.500 0.500
K1 0.000 0.000 0.000
Cl1 0.250 0.250 0.250
Cl2 0.750 0.750 0.750